# 1
Crystalline ReSb2Te at its relaxed geometry. Source: Alexandria, functional GGA-PBE.

a = 10.900 Å, b = 10.900 Å, c = 10.900 Å
α = 17.43°, β = 17.43°, γ = 17.43°
Element x y z (fractional)
1 Te 0.750 0.750 0.750
2 Re 0.250 0.250 0.250
3 Sb 0.978 0.978 0.978
4 Sb 0.522 0.522 0.522

Computed properties:
Raw formation energy, eV per atom: 0.339
Space-group type: R-3m (166)
Volume, Å³/atom: 25.3
Theoretical density, kg/m3: 9128

=====

# 2
Crystalline TaW2N at its relaxed geometry. Source: Alexandria, functional GGA-PBE.

a = 5.147 Å, b = 5.168 Å, c = 5.661 Å
α = 90.07°, β = 117.22°, γ = 119.48°
Element x y z (fractional)
1 Ta 0.845 0.141 0.534
2 W 0.818 0.303 0.022
3 W 0.490 0.467 0.531
4 W 0.479 0.629 0.026
5 N 0.654 0.883 0.780
6 W 0.157 0.803 0.523
7 N 0.658 0.387 0.280
8 Ta 0.155 0.956 0.038

Computed properties:
Raw formation energy, eV per atom: -0.265
Space-group type: P1 (1)
Volume, Å³/atom: 13.9
Theoretical density, kg/m3: 16761

=====

# 3
Crystalline K2CuGe3Pt4 at its relaxed geometry. Source: Alexandria, functional GGA-PBE.

a = 4.398 Å, b = 4.398 Å, c = 10.330 Å
α = 90.00°, β = 90.00°, γ = 90.00°
Element x y z (fractional)
1 Ge 0.000 0.500 0.127
2 Cu 0.500 0.500 0.500
3 Pt 0.500 0.500 0.000
4 Pt 0.000 0.500 0.372
5 Pt 0.500 0.000 0.628
6 Pt 0.000 0.000 0.000
7 Ge 0.500 0.000 0.873
8 K 0.500 0.000 0.257
9 Ge 0.000 0.000 0.500
10 K 0.000 0.500 0.743

Computed properties:
ΔH_f (0 K), eV per formula unit: -3.599
Space-group type: P-4m2 (115)
Volume, Å³/atom: 20.0
Theoretical density, kg/m3: 9475

=====

# 4
Crystalline FeSiSeN2 at its relaxed geometry. Source: Alexandria, functional GGA-PBE.

a = 3.632 Å, b = 3.632 Å, c = 5.117 Å
α = 90.00°, β = 90.00°, γ = 90.00°
Last column: magnetic moment on the atom in μB.
Element x y z (fractional)
1 Fe 0.000 0.000 0.000  0.05
2 Se 0.000 0.000 0.500  -0.01
3 N 0.500 0.000 0.000  -0.07
4 Si 0.500 0.500 0.500  0.01
5 N 0.000 0.500 0.000  -0.07

Computed properties:
Raw formation energy, eV per atom: 0.901
Space-group type: P4/mmm (123)
Volume, Å³/atom: 13.5
Theoretical density, kg/m3: 4696

=====

# 5
Crystalline Zr2Tc at its relaxed geometry. Source: Alexandria, functional GGA-PBE.

a = 7.748 Å, b = 7.748 Å, c = 3.493 Å
α = 90.00°, β = 90.00°, γ = 120.00°
Element x y z (fractional)
1 Zr 0.589 0.000 0.500
2 Zr 0.411 0.411 0.500
3 Zr 0.000 0.589 0.500
4 Tc 0.667 0.333 0.000
5 Tc 0.000 0.000 0.500
6 Zr 0.738 0.738 0.000
7 Zr 0.000 0.262 0.000
8 Zr 0.262 0.000 0.000
9 Tc 0.333 0.667 0.000

Computed properties:
ΔH_f (0 K), eV per formula unit: -0.332
Space-group type: P-62m (189)
Volume, Å³/atom: 20.2
Theoretical density, kg/m3: 7692

=====

# 6
Crystalline TcB2F at its relaxed geometry. Source: Alexandria, functional GGA-PBE.

a = 3.853 Å, b = 3.853 Å, c = 3.853 Å
α = 60.00°, β = 60.00°, γ = 60.00°
Last column: magnetic moment on the atom in μB.
Element x y z (fractional)
1 B 0.250 0.250 0.250  -0.05
2 F 0.000 0.000 0.000  0.18
3 Tc 0.500 0.500 0.500  1.37
4 B 0.750 0.750 0.750  -0.05

Computed properties:
Raw formation energy, eV per atom: 1.111
Space-group type: Fm-3m (225)
Volume, Å³/atom: 10.1
Theoretical density, kg/m3: 5692

=====

# 7
Crystalline SiAu at its relaxed geometry. Source: Alexandria, functional GGA-PBE.

a = 7.548 Å, b = 7.548 Å, c = 7.548 Å
α = 25.22°, β = 25.22°, γ = 25.22°
Element x y z (fractional)
1 Au 0.991 0.991 0.991
2 Si 0.249 0.249 0.249
3 Au 0.759 0.759 0.759
4 Si 0.501 0.501 0.501

Computed properties:
Raw formation energy, eV per atom: 0.086
Space-group type: R-3m (166)
Volume, Å³/atom: 17.2
Theoretical density, kg/m3: 10877

=====

# 8
Crystalline Tb5PmEr4 at its relaxed geometry. Source: Alexandria, functional GGA-PBE.

a = 6.295 Å, b = 7.840 Å, c = 7.840 Å
α = 80.72°, β = 66.33°, γ = 66.33°
Element x y z (fractional)
1 Tb 0.184 0.912 0.621
2 Pm 0.222 0.000 0.000
3 Er 0.403 0.398 0.701
4 Er 0.104 0.299 0.398
5 Er 0.502 0.602 0.299
6 Tb 0.095 0.621 0.088
7 Tb 0.678 0.000 0.000
8 Er 0.801 0.701 0.602
9 Tb 0.805 0.379 0.912
10 Tb 0.716 0.088 0.379

Computed properties:
ΔH_f (0 K), eV per formula unit: 3.035
Space-group type: I4 (79)
Volume, Å³/atom: 32.5
Theoretical density, kg/m3: 8229

=====

# 9
Crystalline BaSiAs at its relaxed geometry. Source: Alexandria, functional GGA-PBE.

a = 5.239 Å, b = 5.239 Å, c = 5.239 Å
α = 60.00°, β = 60.00°, γ = 60.00°
Last column: magnetic moment on the atom in μB.
Element x y z (fractional)
1 Ba 0.750 0.750 0.750  0.04
2 As 0.500 0.500 0.500  -0.02
3 Si 0.000 0.000 0.000  0.15

Computed properties:
Raw formation energy, eV per atom: 0.401
Space-group type: F-43m (216)
Volume, Å³/atom: 33.9
Theoretical density, kg/m3: 3925

=====

# 10
Crystalline Ca2Mg2Cu at its relaxed geometry. Source: Alexandria, functional GGA-PBE.

a = 11.133 Å, b = 4.151 Å, c = 6.111 Å
α = 70.14°, β = 90.00°, γ = 90.00°
Element x y z (fractional)
1 Ca 0.667 0.407 0.186
2 Cu 0.169 0.900 0.201
3 Ca 0.167 0.593 0.814
4 Mg 0.424 0.016 0.968
5 Mg 0.037 0.315 0.369
6 Ca 0.838 0.689 0.621
7 Mg 0.924 0.984 0.032
8 Cu 0.669 0.100 0.799
9 Mg 0.537 0.685 0.631
10 Ca 0.338 0.311 0.379

Computed properties:
ΔH_f (0 K), eV per formula unit: -0.418
Space-group type: Cmc2_1 (36)
Volume, Å³/atom: 26.6
Theoretical density, kg/m3: 2404

=====

# 11
Crystalline ZnCrNi2 at its relaxed geometry. Source: Alexandria, functional GGA-PBE.

a = 4.401 Å, b = 4.401 Å, c = 2.545 Å
α = 90.00°, β = 90.00°, γ = 106.63°
Last column: magnetic moment on the atom in μB.
Element x y z (fractional)
1 Zn 0.500 0.000 0.500  -0.01
2 Ni 0.500 0.500 0.000  0.12
3 Cr 0.000 0.500 0.500  1.53
4 Ni 0.000 0.000 0.000  0.12

Computed properties:
ΔH_f (0 K), eV per formula unit: 0.040
Space-group type: Cmmm (65)
Volume, Å³/atom: 11.8
Theoretical density, kg/m3: 8255

=====

# 12
Crystalline TmIn4CuSe8 at its relaxed geometry. Source: Alexandria, functional GGA-PBE.

a = 8.114 Å, b = 8.114 Å, c = 8.057 Å
α = 59.77°, β = 59.77°, γ = 60.00°
Element x y z (fractional)
1 In 0.479 0.006 0.509
2 In 0.006 0.006 0.509
3 Se 0.750 0.252 0.747
4 Se 0.759 0.223 0.260
5 Se 0.759 0.759 0.260
6 Se 0.252 0.750 0.747
7 In 0.623 0.623 0.130
8 Se 0.248 0.248 0.257
9 Tm 0.009 0.009 0.972
10 Se 0.252 0.252 0.747
11 Se 0.760 0.760 0.720
12 In 0.006 0.479 0.509
13 Se 0.223 0.759 0.260
14 Cu 0.375 0.375 0.876

Computed properties:
Raw formation energy, eV per atom: -0.695
Space-group type: R3m (160)
Volume, Å³/atom: 26.7
Theoretical density, kg/m3: 5880

=====

# 13
Crystalline SiPO2F at its relaxed geometry. Source: Alexandria, functional GGA-PBE.

a = 3.553 Å, b = 3.553 Å, c = 3.990 Å
α = 90.00°, β = 90.00°, γ = 90.00°
Last column: magnetic moment on the atom in μB.
Element x y z (fractional)
1 P 0.500 0.500 0.500  0.14
2 O 0.000 0.500 0.000  0.01
3 Si 0.000 0.000 0.000  0.00
4 F 0.000 0.000 0.500  0.02
5 O 0.500 0.000 0.000  0.01

Computed properties:
Raw formation energy, eV per atom: -0.882
Space-group type: P4/mmm (123)
Volume, Å³/atom: 10.1
Theoretical density, kg/m3: 3629

=====

# 14
Crystalline TaTeRuPb2 at its relaxed geometry. Source: Alexandria, functional GGA-PBE.

a = 5.723 Å, b = 4.755 Å, c = 5.723 Å
α = 90.00°, β = 90.00°, γ = 90.00°
Element x y z (fractional)
1 Ru 0.000 0.500 0.000
2 Pb 0.500 0.000 0.000
3 Pb 0.000 0.000 0.500
4 Ta 0.500 0.500 0.500
5 Te 0.000 0.000 0.000

Computed properties:
Raw formation energy, eV per atom: 1.798
Space-group type: P4/mmm (123)
Volume, Å³/atom: 31.2
Theoretical density, kg/m3: 8785

=====

# 15
Crystalline SrCaAg2 at its relaxed geometry. Source: Alexandria, functional GGA-PBE.

a = 6.282 Å, b = 6.282 Å, c = 6.282 Å
α = 137.39°, β = 137.39°, γ = 61.84°
Element x y z (fractional)
1 Ag 0.000 0.000 0.000
2 Ca 0.500 0.500 0.000
3 Sr 0.750 0.250 0.500
4 Ag 0.250 0.750 0.500

Computed properties:
ΔH_f (0 K), eV per formula unit: -0.498
Space-group type: I-4m2 (119)
Volume, Å³/atom: 28.1
Theoretical density, kg/m3: 5077

=====

# 16
Crystalline Tb5Dy7 at its relaxed geometry. Source: Alexandria, functional GGA-PBE.

a = 5.674 Å, b = 5.558 Å, c = 14.616 Å
α = 101.45°, β = 90.00°, γ = 120.70°
Element x y z (fractional)
1 Dy 0.315 0.631 0.920
2 Dy 0.047 0.095 0.213
3 Dy 0.500 0.000 0.500
4 Dy 0.762 0.524 0.328
5 Dy 0.953 0.905 0.787
6 Dy 0.238 0.476 0.672
7 Tb 0.000 0.000 0.000
8 Tb 0.143 0.285 0.438
9 Tb 0.857 0.715 0.562
10 Tb 0.380 0.760 0.198
11 Dy 0.685 0.369 0.080
12 Tb 0.620 0.240 0.802

Computed properties:
ΔH_f (0 K), eV per formula unit: 2.325
Space-group type: C2/m (12)
Volume, Å³/atom: 32.1
Theoretical density, kg/m3: 8319

=====

# 17
Crystalline HoLu3C at its relaxed geometry. Source: Alexandria, functional GGA-PBE.

a = 4.924 Å, b = 4.924 Å, c = 4.924 Å
α = 90.00°, β = 90.00°, γ = 90.00°
Element x y z (fractional)
1 Lu 0.000 0.500 0.000
2 C 0.000 0.000 0.000
3 Ho 0.500 0.500 0.500
4 Lu 0.000 0.000 0.500
5 Lu 0.500 0.000 0.000

Computed properties:
ΔH_f (0 K), eV per formula unit: -0.254
Space-group type: Pm-3m (221)
Volume, Å³/atom: 23.9
Theoretical density, kg/m3: 9761

=====

# 18
Crystalline NpSc2InO8 at its relaxed geometry. Source: Alexandria, functional GGA-PBE.

a = 4.881 Å, b = 4.879 Å, c = 6.651 Å
α = 90.00°, β = 90.00°, γ = 91.89°
Element x y z (fractional)
1 O 0.704 0.705 0.000
2 Sc 0.500 0.500 0.265
3 O 0.805 0.196 0.228
4 O 0.195 0.804 0.228
5 O 0.805 0.196 0.772
6 O 0.308 0.307 0.500
7 O 0.692 0.693 0.500
8 O 0.296 0.295 0.000
9 Np 0.000 0.000 0.000
10 Sc 0.500 0.500 0.735
11 O 0.195 0.804 0.772
12 In 0.000 0.000 0.500

Computed properties:
Raw formation energy, eV per atom: -2.702
Space-group type: Cmmm (65)
Volume, Å³/atom: 13.2
Theoretical density, kg/m3: 5977

=====

# 19
Crystalline LaGeOs2S at its relaxed geometry. Source: Alexandria, functional GGA-PBE.

a = 4.591 Å, b = 5.779 Å, c = 4.591 Å
α = 90.00°, β = 90.00°, γ = 90.00°
Last column: magnetic moment on the atom in μB.
Element x y z (fractional)
1 S 0.500 0.500 0.500  0.10
2 Os 0.500 0.000 0.000  0.94
3 Ge 0.000 0.000 0.000  -0.03
4 Os 0.000 0.000 0.500  0.93
5 La 0.000 0.500 0.000  -0.04

Computed properties:
Raw formation energy, eV per atom: 0.832
Space-group type: P4/mmm (123)
Volume, Å³/atom: 24.4
Theoretical density, kg/m3: 8509

=====

# 20
Crystalline U4Co7Si6 at its relaxed geometry. Source: Alexandria, functional GGA-PBE.

a = 6.912 Å, b = 6.912 Å, c = 6.912 Å
α = 109.47°, β = 109.47°, γ = 109.47°
Last column: magnetic moment on the atom in μB.
Element x y z (fractional)
1 Si 0.327 0.327 0.000  0.00
2 Co 0.750 0.500 0.250  0.15
3 Co 0.250 0.750 0.500  0.15
4 Co 0.500 0.750 0.250  0.15
5 Co 0.000 0.000 0.000  1.07
6 Si 0.673 0.000 0.673  0.00
7 U 0.000 0.500 0.000  1.56
8 Co 0.500 0.250 0.750  0.15
9 U 0.500 0.500 0.500  1.56
10 Si 0.000 0.327 0.327  0.00
11 U 0.000 0.000 0.500  1.56
12 Co 0.250 0.500 0.750  0.15
13 Si 0.327 0.000 0.327  0.00
14 Si 0.673 0.673 0.000  0.00
15 Si 0.000 0.673 0.673  0.00
16 Co 0.750 0.250 0.500  0.15
17 U 0.500 0.000 0.000  1.56

Computed properties:
Raw formation energy, eV per atom: -0.407
Space-group type: Im-3m (229)
Volume, Å³/atom: 15.0
Theoretical density, kg/m3: 10014